[1]
Crystalline HfCoAsOs at its relaxed geometry. Source: the Open Quantum Materials Database, functional PBE-GGA.

## Properties
offset from the most stable computed form: 1.24 eV/f.u.

Cell lengths 6.329, 6.329, 6.329 Å; angles 90.00, 90.00, 90.00 degrees
Space group F-43m (No. 216)
Inequivalent atoms, fractional coordinates:
Hf (0.000, 0.000, 0.000) (multiplicity 4)
Co (0.000, 0.000, 0.500) (multiplicity 4)
As (0.250, 0.250, 0.250) (multiplicity 4)
Os (0.250, 0.250, 0.750) (multiplicity 4)


[2]
Crystalline Zr4Nb2Co3N3 at its relaxed geometry. Source: the Open Quantum Materials Database, functional PBE-GGA.

## Properties
electronic total energy: -431.58 eV/cell

Cell lengths 9.399, 5.387, 13.620 Å; angles 90.00, 103.48, 90.00 degrees
Space group C2/c (No. 15)
Inequivalent atoms, fractional coordinates:
Zr (0.114, 0.090, 0.094) (multiplicity 8)
Zr (0.222, 0.083, 0.405) (multiplicity 8)
Nb (0.038, 0.416, 0.869) (multiplicity 8)
Co (0.000, 0.116, 0.250) (multiplicity 4)
Co (0.231, 0.184, 0.750) (multiplicity 8)
N (0.079, 0.264, 0.500) (multiplicity 8)
N (0.250, 0.250, 0.000) (multiplicity 4)


- What is the formula in the first record?
  HfCoAsOs